Material: NdThGaSn
Method: DFT, PBE
State: relaxed

Cell lengths 5.378, 5.378, 5.378 Å; angles 60.00, 60.00, 60.00 degrees
Sites, in units of the cell vectors:
Ga  0.750  0.750  0.750
Nd  0.500  0.500  0.500
Sn  0.250  0.250  0.250
Th  0.000  0.000  0.000

Computed properties:
size of the total moment = 0.000 Bohr magnetons per cell
DOS(E_F) = 1.17 states/eV/atom
space group = F-43m, No. 216
formation energy from the elements = -0.431 eV per atom

***

Material: KMnB
Method: DFT, PBE
State: relaxed

Cell lengths 2.897, 2.897, 5.874 Å; angles 90.00, 90.00, 90.00 degrees
Site moments in Bohr magnetons follow the coordinates.
Sites, in units of the cell vectors:
K  0.500  0.500  0.500  -0.03
Mn  0.000  0.000  0.000  1.55
B  0.500  0.500  0.000  -0.15

Computed properties:
size of the total moment = 1.304 Bohr magnetons per cell
DOS(E_F) = 0.79 states/eV/atom
space group = P4/mmm, No. 123
formation energy from the elements = 0.450 eV per atom

***

Material: Y2ZnPd4
Method: DFT, PBE
State: relaxed

Cell lengths 4.642, 4.642, 7.858 Å; angles 107.18, 107.18, 90.00 degrees
Sites, in units of the cell vectors:
Y  0.638  0.638  0.275
Y  0.362  0.362  0.725
Zn  0.000  0.000  0.000
Pd  0.828  0.828  0.655
Pd  0.172  0.172  0.345
Pd  0.000  0.500  0.000
Pd  0.500  0.000  0.000

Computed properties:
size of the total moment = 0.000 Bohr magnetons per cell
DOS(E_F) = 0.68 states/eV/atom
space group = I4/mmm, No. 139
formation energy from the elements = -0.352 eV per atom

***

Material: NpMnBe
Method: DFT, PBE
State: relaxed

Cell lengths 2.927, 7.198, 7.485 Å; angles 90.00, 90.00, 90.00 degrees
Sites, in units of the cell vectors:
Np  0.250  0.352  0.505
Np  0.750  0.648  0.495
Np  0.250  0.148  0.005
Np  0.750  0.852  0.995
Be  0.250  0.610  0.793
Be  0.750  0.390  0.207
Be  0.250  0.890  0.293
Be  0.750  0.110  0.707
Mn  0.250  0.600  0.106
Mn  0.750  0.400  0.894
Mn  0.250  0.900  0.606
Mn  0.750  0.100  0.394

Computed properties:
size of the total moment = 0.000 Bohr magnetons per cell
DOS(E_F) = 1.41 states/eV/atom
space group = Pnma, No. 62
formation energy from the elements = 0.154 eV per atom

***

Material: Tl4IOF
Method: DFT, PBE
State: relaxed

Cell lengths 6.725, 7.465, 9.703 Å; angles 90.00, 104.07, 90.00 degrees
Sites, in units of the cell vectors:
Tl  0.089  0.489  0.734
Tl  0.911  0.989  0.266
Tl  0.911  0.511  0.266
Tl  0.089  0.011  0.734
Tl  0.312  0.750  0.106
Tl  0.688  0.250  0.894
Tl  0.439  0.750  0.503
Tl  0.561  0.250  0.497
I  0.769  0.750  0.938
I  0.231  0.250  0.062
O  0.155  0.750  0.312
O  0.845  0.250  0.688
F  0.656  0.750  0.327
F  0.344  0.250  0.673

Computed properties:
size of the total moment = 0.000 Bohr magnetons per cell
raw formation energy = -88.5 kJ per mole of atoms
DOS(E_F) = 0.00 states/eV/atom
space group = P2_1/m, No. 11

***

Material: Ac7Tl2Co2
Method: DFT, PBE
State: relaxed

Cell lengths 4.172, 11.010, 10.175 Å; angles 122.75, 101.83, 90.00 degrees
Sites, in units of the cell vectors:
Ac  0.172  0.034  0.344
Ac  0.113  0.408  0.226
Ac  0.500  0.995  0.000
Ac  0.398  0.502  0.797
Ac  0.602  0.705  0.203
Ac  0.828  0.690  0.656
Ac  0.887  0.182  0.774
Tl  0.276  0.866  0.551
Tl  0.724  0.315  0.449
Co  0.000  0.793  0.000
Co  0.500  0.364  0.000

Computed properties:
size of the total moment = 0.000 Bohr magnetons per cell
DOS(E_F) = 1.20 states/eV/atom
space group = Imm2, No. 44
formation energy from the elements = -0.053 eV per atom